# YIrBr2 (PBE-GGA, optimized geometry)
# - ΔE_f (raw): 23 kJ/mol of atoms
# - E_tot: -17.70 eV per formula unit
# - Total magnetization: 0.000 μB per atom
# - V: 202.3 Å³/cell
data_YIrBr2
_space_group_name_H-M_alt 'C m m m'
_space_group_IT_number 65
_space_group_name_Hall '-C 2 2'
_cell_length_a 4.318
_cell_length_b 6.980
_cell_length_c 6.711
_cell_angle_alpha 90.00
_cell_angle_beta 90.00
_cell_angle_gamma 90.00
loop_
_atom_site_label
_atom_site_type_symbol
_atom_site_fract_x
_atom_site_fract_y
_atom_site_fract_z
_atom_site_occupancy
Y1 Y 0.000 0.000 0.000 1
Ir1 Ir 0.000 0.000 0.500 1
Br1 Br 0.000 0.500 0.274 1